Here is an optimized crystal structure of TmCdCu from the Alexandria database. Energies are from PBE.

Structure (CIF):
```
data_TmCdCu
_chemical_formula_sum 'Tm2 Cd2 Cu2'
_cell_length_a 3.360
_cell_length_b 3.360
_cell_length_c 10.923
_cell_angle_alpha 90.00
_cell_angle_beta 90.00
_cell_angle_gamma 90.00
_space_group_name_H-M_alt 'I 4 m m'
_space_group_IT_number 107
_space_group_name_Hall 'I 4 -2'
loop_
_atom_site_label
_atom_site_type_symbol
_atom_site_fract_x
_atom_site_fract_y
_atom_site_fract_z
Tm1 Tm 0.000 0.000 0.000
Cd1 Cd 0.000 0.000 0.704
Cu1 Cu 0.000 0.000 0.344
```

Energy of formation ... -0.1741 eV per atom